A plane-wave DFT calculation with PBE-GGA was carried out for a relaxed CaCdSb2I crystal.

a b c (Å): 5.462 5.462 6.203
angles (deg): 90.00 90.00 90.00
Sites, in units of the cell vectors:
Ca: 0.000 0.000 0.000
Cd: 0.500 0.500 0.500
Sb: 0.000 0.500 0.500
Sb: 0.500 0.000 0.500
I: 0.500 0.500 0.000

Energy relative to the lowest polymorph listed for this composition = 0 meV per atom
Energy = -2.486 eV/atom
DOS at the Fermi energy = 1.10 states/eV/atom
Total moment = 0.00 μB per cell

***

A plane-wave DFT calculation with PBE-GGA was carried out for a relaxed CaCdSbI crystal.

a b c (Å): 15.260 15.260 15.260
angles (deg): 17.63 17.63 17.63
Sites, in units of the cell vectors:
Ca: 0.086 0.086 0.086
Ca: 0.914 0.914 0.914
Cd: 0.311 0.311 0.311
Cd: 0.689 0.689 0.689
Sb: 0.378 0.378 0.378
Sb: 0.622 0.622 0.622
I: 0.210 0.210 0.210
I: 0.790 0.790 0.790

Energy = -3.038 eV/atom
Total moment = 0.00 μB per cell

***

A plane-wave DFT calculation with PBE-GGA was carried out for a relaxed SrCaCdI2 crystal.

a b c (Å): 5.971 5.971 7.837
angles (deg): 90.00 90.00 90.00
Sites, in units of the cell vectors:
Sr: 0.000 0.000 0.000
Ca: 0.000 0.000 0.500
Cd: 0.500 0.500 0.000
I: 0.000 0.500 0.500
I: 0.500 0.000 0.500

Energy = -2.063 eV/atom
DOS at the Fermi energy = 0.00 states/eV/atom
Total moment = 0.00 μB per cell

***

A plane-wave DFT calculation with PBE-GGA was carried out for a relaxed CaCdTeI2 crystal.

a b c (Å): 5.764 5.764 5.846
angles (deg): 90.00 90.00 90.00
Sites, in units of the cell vectors:
Ca: 0.000 0.000 0.000
Cd: 0.500 0.500 0.500
Te: 0.500 0.500 0.000
I: 0.000 0.500 0.500
I: 0.500 0.000 0.500

Energy relative to the lowest polymorph listed for this composition = 0 meV per atom
Energy = -2.323 eV/atom
DOS at the Fermi energy = 0.30 states/eV/atom
Total moment = 0.00 μB per cell

***

A plane-wave DFT calculation with PBE-GGA was carried out for a relaxed CaTl2CdI6 crystal.

a b c (Å): 8.529 8.529 8.529
angles (deg): 59.00 59.00 59.00
Sites, in units of the cell vectors:
Ca: 0.000 0.000 0.000
Tl: 0.291 0.291 0.291
Tl: 0.790 0.790 0.790
Cd: 0.501 0.501 0.501
I: 0.158 0.730 0.347
I: 0.242 0.648 0.837
I: 0.347 0.158 0.730
I: 0.648 0.837 0.242
I: 0.730 0.347 0.158
I: 0.837 0.242 0.648

Energy = -2.570 eV/atom
DOS at the Fermi energy = 0.00 states/eV/atom
Total moment = 0.00 μB per cell

***

A plane-wave DFT calculation with PBE-GGA was carried out for a relaxed Ca2Cd4In crystal.

a b c (Å): 9.502 8.518 5.888
angles (deg): 80.28 62.08 37.65
Sites, in units of the cell vectors:
Ca: 0.107 0.107 0.893
Ca: 0.893 0.893 0.107
Cd: 0.000 0.000 0.500
Cd: 0.303 0.303 0.697
Cd: 0.500 0.500 0.000
Cd: 0.697 0.697 0.303
In: 0.500 0.500 0.500

Energy = -1.534 eV/atom
DOS at the Fermi energy = 0.60 states/eV/atom
Total moment = 0.00 μB per cell

***

A plane-wave DFT calculation with PBE-GGA was carried out for a relaxed Ca3Cd9In2 crystal.

a b c (Å): 9.181 9.181 9.181
angles (deg): 150.41 106.77 80.90
Sites, in units of the cell vectors:
Ca: 0.000 0.000 0.000
Ca: 0.297 0.297 0.000
Ca: 0.703 0.703 0.000
Cd: 0.027 0.655 0.372
Cd: 0.140 0.856 0.284
Cd: 0.284 0.655 0.628
Cd: 0.429 0.144 0.284
Cd: 0.500 0.000 0.500
Cd: 0.571 0.856 0.716
Cd: 0.716 0.345 0.372
Cd: 0.860 0.144 0.716
Cd: 0.973 0.345 0.628
In: 0.314 0.500 0.814
In: 0.686 0.500 0.186

Energy = -1.648 eV/atom
DOS at the Fermi energy = 0.49 states/eV/atom
Total moment = 0.00 μB per cell

***

A plane-wave DFT calculation with PBE-GGA was carried out for a relaxed CaCd2In crystal.

a b c (Å): 7.066 7.066 7.066
angles (deg): 151.38 136.20 53.16
Sites, in units of the cell vectors:
Ca: 0.000 0.000 0.000
Cd: 0.270 0.270 0.000
Cd: 0.730 0.730 0.000
In: 0.500 0.500 0.000

Energy = -1.661 eV/atom
DOS at the Fermi energy = 0.61 states/eV/atom
Total moment = 0.00 μB per cell

***

A plane-wave DFT calculation with PBE-GGA was carried out for a relaxed CaCdIn crystal.

a b c (Å): 3.795 3.795 7.073
angles (deg): 90.00 90.00 120.00
Sites, in units of the cell vectors:
Ca: 0.000 0.000 0.000
Cd: 0.333 0.667 0.338
In: 0.667 0.333 0.644

Energy = -2.034 eV/atom
DOS at the Fermi energy = 0.59 states/eV/atom
Total moment = 0.00 μB per cell

***

A plane-wave DFT calculation with PBE-GGA was carried out for a relaxed Ca2CdIn3 crystal.

a b c (Å): 10.027 9.456 6.245
angles (deg): 76.35 66.40 37.24
Sites, in units of the cell vectors:
Ca: 0.249 0.751 0.751
Ca: 0.250 0.250 0.250
Ca: 0.750 0.750 0.750
Ca: 0.751 0.249 0.249
Cd: 0.167 0.167 0.833
Cd: 0.833 0.833 0.167
In: 0.165 0.667 0.333
In: 0.332 0.332 0.668
In: 0.333 0.835 0.165
In: 0.667 0.165 0.835
In: 0.668 0.668 0.332
In: 0.835 0.333 0.667

Energy = -2.580 eV/atom
DOS at the Fermi energy = 0.43 states/eV/atom
Total moment = 0.00 μB per cell

***

A plane-wave DFT calculation with PBE-GGA was carried out for a relaxed CaCd6In4 crystal.

a b c (Å): 7.618 7.618 7.618
angles (deg): 118.00 118.00 93.50
Sites, in units of the cell vectors:
Ca: 0.000 0.000 0.000
Cd: 0.000 0.500 0.500
Cd: 0.193 0.193 0.722
Cd: 0.471 0.471 0.278
Cd: 0.500 0.000 0.500
Cd: 0.529 0.807 0.000
Cd: 0.807 0.529 0.000
In: 0.172 0.618 0.000
In: 0.382 0.382 0.554
In: 0.618 0.172 0.000
In: 0.828 0.828 0.446

Energy = -1.618 eV/atom
DOS at the Fermi energy = 0.51 states/eV/atom
Total moment = 0.00 μB per cell

***

A plane-wave DFT calculation with PBE-GGA was carried out for a relaxed CaCdIn5 crystal.

a b c (Å): 5.072 5.072 7.488
angles (deg): 90.00 90.00 90.00
Sites, in units of the cell vectors:
Ca: 0.000 0.000 0.000
Cd: 0.000 0.000 0.500
In: 0.000 0.500 0.282
In: 0.000 0.500 0.718
In: 0.500 0.000 0.282
In: 0.500 0.000 0.718
In: 0.500 0.500 0.000

Energy = -2.515 eV/atom
DOS at the Fermi energy = 0.57 states/eV/atom
Total moment = 0.00 μB per cell

***

A plane-wave DFT calculation with PBE-GGA was carried out for a relaxed CaCd2In crystal.

a b c (Å): 5.664 5.664 5.747
angles (deg): 99.17 99.17 35.01
Sites, in units of the cell vectors:
Ca: 0.000 0.000 0.000
Cd: 0.250 0.250 0.745
Cd: 0.750 0.750 0.255
In: 0.500 0.500 0.500

Energy = -1.841 eV/atom
DOS at the Fermi energy = 0.45 states/eV/atom
Total moment = 0.00 μB per cell